CaTb15Nd4 PBE-GGA relaxed; symmetry = No. 123; energy of formation from the pure elements = 0.036 eV/atom; crystal system = tetragonal
1.0
5.0907 0.0000 0.0000
0.0000 5.0907 0.0000
0.0000 0.0000 25.4324
Ca Tb Nd
1 15 4
Direct
0.0000 0.0000 0.0000
0.0000 0.5000 0.1032
0.0000 0.5000 0.3011
0.0000 0.5000 0.5000
0.0000 0.5000 0.6989
0.0000 0.5000 0.8968
0.5000 0.0000 0.1032
0.5000 0.0000 0.3011
0.5000 0.0000 0.5000
0.5000 0.0000 0.6989
0.5000 0.0000 0.8968
0.5000 0.5000 0.0000
0.5000 0.5000 0.2003
0.5000 0.5000 0.4002
0.5000 0.5000 0.5998
0.5000 0.5000 0.7997
0.0000 0.0000 0.2007
0.0000 0.0000 0.4004
0.0000 0.0000 0.5996
0.0000 0.0000 0.7993

CaTb4Nd8 PBE-GGA relaxed; symmetry = No. 12; energy of formation from the pure elements = 0.035 eV/atom; crystal system = monoclinic
1.0
5.7794 -2.5883 0.0000
5.7794 2.5883 0.0000
-1.0940 0.0000 15.0354
Ca Tb Nd
1 4 8
Direct
0.0000 0.0000 0.0000
0.1523 0.1523 0.5374
0.3790 0.3790 0.8408
0.6210 0.6210 0.1592
0.8477 0.8477 0.4626
0.0761 0.0761 0.7660
0.2335 0.2335 0.3099
0.3063 0.3063 0.0802
0.4601 0.4601 0.6141
0.5399 0.5399 0.3859
0.6937 0.6937 0.9198
0.7665 0.7665 0.6901
0.9239 0.9239 0.2340

CaTb8Nd2 PBE-GGA relaxed; symmetry = No. 71; energy of formation from the pure elements = 0.164 eV/atom; crystal system = orthorhombic
1.0
-2.7935 4.2026 7.9393
2.7935 -4.2026 7.9393
2.7935 4.2026 -7.9393
Ca Tb Nd
1 8 2
Direct
0.0000 0.0000 0.0000
0.1557 0.8585 0.2972
0.1591 0.6591 0.5000
0.3049 0.5000 0.8049
0.4388 0.1415 0.2972
0.5612 0.8585 0.7028
0.6951 0.5000 0.1951
0.8409 0.3409 0.5000
0.8443 0.1415 0.7028
0.2970 0.2970 0.0000
0.7030 0.7030 0.0000

Ca2Tb2Nd3 PBE-GGA relaxed; symmetry = No. 12; energy of formation from the pure elements = 0.063 eV/atom; crystal system = monoclinic
1.0
5.7908 -2.5943 0.0000
5.7908 2.5943 0.0000
-1.2041 0.0000 8.3062
Ca Tb Nd
2 2 3
Direct
0.1424 0.1424 0.4276
0.8576 0.8576 0.5724
0.2838 0.2838 0.8698
0.7162 0.7162 0.1302
0.0000 0.0000 0.0000
0.4286 0.4286 0.2658
0.5714 0.5714 0.7342

Ca2TbNd4 PBE-GGA relaxed; symmetry = No. 71; energy of formation from the pure elements = 0.117 eV/atom; energy above the lowest structure with this stoichiometry = 0 meV per atom; crystal system = orthorhombic
1.0
-1.7960 2.9706 11.9327
1.7960 -2.9706 11.9327
1.7960 2.9706 -11.9327
Ca Tb Nd
2 1 4
Direct
0.2210 0.2210 0.0000
0.7790 0.7790 0.0000
0.5000 0.5000 0.0000
0.0797 0.5797 0.5000
0.3701 0.8701 0.5000
0.6299 0.1299 0.5000
0.9203 0.4203 0.5000

Ca3TbNd2Te6 PBE-GGA relaxed; symmetry = No. 12; crystal system = monoclinic; raw formation energy = -1.498 eV per atom
1.0
3.8496 -6.6589 0.0000
3.8496 6.6589 0.0000
-2.5692 0.0000 7.4312
Ca Tb Nd Te
3 1 2 6
Direct
0.0000 0.0000 0.0000
0.3306 0.6694 0.0000
0.6694 0.3306 0.0000
0.5000 0.5000 0.5000
0.1655 0.8345 0.5000
0.8345 0.1655 0.5000
0.0895 0.4166 0.2486
0.2583 0.2583 0.7536
0.4166 0.0895 0.2486
0.5834 0.9105 0.7514
0.7417 0.7417 0.2464
0.9105 0.5834 0.7514

CaTbNd2Te4 PBE-GGA relaxed; symmetry = No. 10; crystal system = monoclinic; raw formation energy = -1.440 eV per atom
1.0
7.7058 0.0000 0.0000
0.0000 4.4202 0.0000
-2.5219 0.0000 7.3803
Ca Tb Nd Te
1 1 2 4
Direct
0.0000 0.0000 0.0000
0.5000 0.5000 0.0000
0.0000 0.5000 0.5000
0.5000 0.0000 0.5000
0.2487 0.5000 0.2416
0.2539 0.0000 0.7599
0.7461 0.0000 0.2401
0.7513 0.5000 0.7584

Ca3TbNd3Te8 PBE-GGA relaxed; symmetry = No. 166; crystal system = trigonal; raw formation energy = -1.519 eV per atom
1.0
4.4613 2.5758 7.4132
-4.4613 2.5758 7.4132
0.0000 -5.1515 7.4132
Ca Tb Nd Te
3 1 3 8
Direct
0.0000 0.5000 0.5000
0.5000 0.0000 0.5000
0.5000 0.5000 0.0000
0.5000 0.5000 0.5000
0.0000 0.0000 0.5000
0.0000 0.5000 0.0000
0.5000 0.0000 0.0000
0.2515 0.2515 0.2515
0.2521 0.2521 0.7467
0.2521 0.7467 0.2521
0.2533 0.7479 0.7479
0.7467 0.2521 0.2521
0.7479 0.2533 0.7479
0.7479 0.7479 0.2533
0.7485 0.7485 0.7485